# Ni2Ag5F12

A geometry-optimized Ni2Ag5F12 structure (GGA+U, Alexandria via LeMat-Bulk).

Unit cell a=6.982 b=6.982 c=7.499 alpha=103.59 beta=103.59 gamma=51.83
Fractional positions:
Ni1 0.244 0.756 0.000
Ni2 0.756 0.244 0.000
Ag1 0.000 0.000 0.500
Ag2 0.294 0.294 0.168
Ag3 0.329 0.329 0.633
Ag4 0.671 0.671 0.367
Ag5 0.706 0.706 0.832
F1 0.031 0.031 0.843
F2 0.102 0.574 0.859
F3 0.111 0.625 0.458
F4 0.375 0.889 0.542
F5 0.426 0.898 0.141
F6 0.474 0.474 0.160
F7 0.526 0.526 0.840
F8 0.574 0.102 0.859
F9 0.625 0.111 0.458
F10 0.889 0.375 0.542
F11 0.898 0.426 0.141
F12 0.969 0.969 0.157

Results
SG: C2/m (12)
DOS(E_F) in states/eV/f.u.: 10.166
Total energy in eV/atom: -3.63
Crystal system: monoclinic
V in Å³/cell: 277.4
Magnetic moment in μB/atom: 0.161